[1]
Below is a relaxed Nd2ScAl12Fe3 crystal, with properties calculated at the GGA-PBE level.

Cell lengths 7.9016, 7.9016, 7.9016 Å; angles 65.41, 65.41, 65.41 degrees
Fractional positions:
Fe: 0.5000 0.0000 0.0000
Al: 0.7304 0.7304 0.0810
Al: 0.2696 0.9190 0.2696
Sc: 0.0000 0.0000 0.0000
Al: 0.2696 0.2696 0.9190
Nd: 0.5822 0.5822 0.5822
Fe: 0.0000 0.0000 0.5000
Al: 0.0810 0.7304 0.7304
Al: 0.9190 0.2696 0.2696
Al: 0.1587 0.5404 0.1587
Al: 0.8413 0.4596 0.8413
Fe: 0.0000 0.5000 0.0000
Nd: 0.4178 0.4178 0.4178
Al: 0.7304 0.0810 0.7304
Al: 0.8413 0.8413 0.4596
Al: 0.5404 0.1587 0.1587
Al: 0.1587 0.1587 0.5404
Al: 0.4596 0.8413 0.8413

Output
Its volume is 21.661 Å³/atom. The value obtained for the formation energy is 174 meV per atom. Its space-group type is R-3m. As for the total moment: 0.000 μB/atom. The calculation puts the total energy at -83.04 eV per formula unit.

[2]
Below is a relaxed TbNd2Al12Fe3 crystal, with properties calculated at the GGA-PBE level.

Cell lengths 7.9649, 7.9649, 7.9649 Å; angles 64.96, 64.96, 64.96 degrees
Fractional positions:
Al: 0.8378 0.8378 0.4735
Fe: 0.0000 0.0000 0.5000
Tb: 0.0000 0.0000 0.0000
Al: 0.2721 0.9182 0.2721
Al: 0.4735 0.8378 0.8378
Al: 0.8378 0.4735 0.8378
Nd: 0.5832 0.5832 0.5832
Al: 0.1622 0.5265 0.1622
Fe: 0.5000 0.0000 0.0000
Al: 0.1622 0.1622 0.5265
Al: 0.0818 0.7279 0.7279
Al: 0.7279 0.7279 0.0818
Al: 0.7279 0.0818 0.7279
Fe: 0.0000 0.5000 0.0000
Al: 0.9182 0.2721 0.2721
Nd: 0.4168 0.4168 0.4168
Al: 0.2721 0.2721 0.9182
Al: 0.5265 0.1622 0.1622

Output
Its volume is 22.000 Å³/atom. The value obtained for the formation energy is 125 meV per atom. Its space-group type is R-3m. As for the total moment: 0.000 μB/atom. The calculation puts the total energy at -82.21 eV per formula unit.

[3]
Below is a relaxed Nd2TmAl12Fe3 crystal, with properties calculated at the GGA-PBE level.

Cell lengths 7.9445, 7.9445, 7.9445 Å; angles 65.13, 65.13, 65.13 degrees
Fractional positions:
Al: 0.1610 0.5316 0.1610
Al: 0.7285 0.0806 0.7285
Nd: 0.5827 0.5827 0.5827
Al: 0.8390 0.4684 0.8390
Fe: 0.0000 0.5000 0.0000
Al: 0.5316 0.1610 0.1610
Fe: 0.5000 0.0000 0.0000
Al: 0.8390 0.8390 0.4684
Al: 0.0806 0.7285 0.7285
Al: 0.2715 0.9194 0.2715
Al: 0.2715 0.2715 0.9194
Nd: 0.4173 0.4173 0.4173
Al: 0.4684 0.8390 0.8390
Al: 0.9194 0.2715 0.2715
Al: 0.1610 0.1610 0.5316
Al: 0.7285 0.7285 0.0806
Fe: 0.0000 0.0000 0.5000
Tm: 0.0000 0.0000 0.0000

Output
Its volume is 21.903 Å³/atom. The value obtained for the formation energy is 145 meV per atom. Its space-group type is R-3m. As for the total moment: 0.000 μB/atom. The calculation puts the total energy at -81.69 eV per formula unit.

[4]
Below is a relaxed Nd2YAl12Fe3 crystal, with properties calculated at the GGA-PBE level.

Cell lengths 7.9616, 7.9616, 7.9616 Å; angles 64.99, 64.99, 64.99 degrees
Fractional positions:
Al: 0.8376 0.4739 0.8376
Fe: 0.0000 0.5000 0.0000
Fe: 0.0000 0.0000 0.5000
Al: 0.7279 0.7279 0.0821
Al: 0.5261 0.1624 0.1624
Al: 0.2721 0.9179 0.2721
Al: 0.1624 0.1624 0.5261
Al: 0.7279 0.0821 0.7279
Al: 0.0821 0.7279 0.7279
Al: 0.9179 0.2721 0.2721
Al: 0.8376 0.8376 0.4739
Nd: 0.4169 0.4169 0.4169
Al: 0.2721 0.2721 0.9179
Y: 0.0000 0.0000 0.0000
Fe: 0.5000 0.0000 0.0000
Al: 0.4739 0.8376 0.8376
Nd: 0.5831 0.5831 0.5831
Al: 0.1624 0.5261 0.1624

Output
Its volume is 21.987 Å³/atom. The value obtained for the formation energy is 127 meV per atom. Its space-group type is R-3m. As for the total moment: 0.000 μB/atom. The calculation puts the total energy at -84.02 eV per formula unit.

[5]
Below is a relaxed AlFe2Ni crystal, with properties calculated at the GGA-PBE level.

Cell lengths 4.6393, 4.6393, 4.6393 Å; angles 139.64, 132.18, 64.31 degrees
Site moments in Bohr magnetons follow the coordinates.
Fractional positions:
Fe: 0.9979 0.9979 0.0000  2.28
Al: 0.2500 0.7500 0.5000  -0.06
Ni: 0.7500 0.2500 0.5000  0.42
Fe: 0.5021 0.5021 0.0000  2.28

Output
Its volume is 11.818 Å³/atom. The value obtained for the formation energy is -264 meV per atom. Its space-group type is Immm. As for the total moment: 1.188 μB/atom. The calculation puts the total energy at -27.50 eV per formula unit.

[6]
Below is a relaxed Al2Fe2Ni crystal, with properties calculated at the GGA-PBE level.

Cell lengths 5.9432, 5.9432, 3.6637 Å; angles 90.00, 90.00, 90.00 degrees
Site moments in Bohr magnetons follow the coordinates.
Fractional positions:
Ni: 0.5000 0.5000 0.0000  0.43
Ni: 0.0000 0.0000 0.0000  0.43
Fe: 0.1275 0.3725 0.0000  1.33
Fe: 0.6275 0.1275 0.0000  1.33
Al: 0.1732 0.6732 0.5000  -0.03
Al: 0.8268 0.3268 0.5000  -0.03
Fe: 0.8725 0.6275 0.0000  1.33
Al: 0.3268 0.1732 0.5000  -0.03
Al: 0.6732 0.8268 0.5000  -0.03
Fe: 0.3725 0.8725 0.0000  1.33

Output
The calculation puts the energy above the lowest structure with this stoichiometry at 0.000 eV per atom. Its volume is 12.941 Å³/atom. The value obtained for the formation energy is -62 meV per atom. Its space-group type is P4/mbm. As for the total moment: 0.575 μB/atom. The calculation puts the total energy at -30.50 eV per formula unit.